(1)
TmHgNO: relaxed, PBE-GGA.

Calculated values
uncorrected energy = -5.490 eV per atom
ΔE to the lowest computed polymorph = 249 meV/atom
spin magnetization = 0.00 μB per cell

```
data_TmHgNO
_cell_length_a 3.885
_cell_length_b 3.885
_cell_length_c 7.864
_cell_angle_alpha 90.00
_cell_angle_beta 90.00
_cell_angle_gamma 90.00
_symmetry_space_group_name_H-M 'P 4/n m m'
_symmetry_Int_Tables_number 129
loop_
_symmetry_equiv_pos_as_xyz
'x,y,z'
'-x,-y,-z'
'-y+1/2,x,z'
'y+1/2,-x,-z'
'-x+1/2,-y+1/2,z'
'x+1/2,y+1/2,-z'
'y,-x+1/2,z'
'-y,x+1/2,-z'
'x+1/2,-y,-z'
'-x+1/2,y,z'
'-y,-x,-z'
'y,x,z'
'-x,y+1/2,-z'
'x,-y+1/2,z'
'y+1/2,x+1/2,-z'
'-y+1/2,-x+1/2,z'
loop_
_atom_site_label
_atom_site_type_symbol
_atom_site_fract_x
_atom_site_fract_y
_atom_site_fract_z
Tm1 Tm 0.250 0.250 0.132
Hg1 Hg 0.250 0.750 0.500
N1 N 0.250 0.250 0.702
O1 O 0.250 0.750 0.000
```

***

(2)
TmHgNO: relaxed, PBE-GGA.

Calculated values
uncorrected energy = -5.612 eV per atom
ΔE to the lowest computed polymorph = 128 meV/atom
spin magnetization = 0.00 μB per cell

```
data_TmHgNO
_cell_length_a 4.962
_cell_length_b 4.962
_cell_length_c 4.555
_cell_angle_alpha 90.00
_cell_angle_beta 90.00
_cell_angle_gamma 90.00
_symmetry_space_group_name_H-M 'P 4/n m m'
_symmetry_Int_Tables_number 129
loop_
_symmetry_equiv_pos_as_xyz
'x,y,z'
'-x,-y,-z'
'-y+1/2,x,z'
'y+1/2,-x,-z'
'-x+1/2,-y+1/2,z'
'x+1/2,y+1/2,-z'
'y,-x+1/2,z'
'-y,x+1/2,-z'
'x+1/2,-y,-z'
'-x+1/2,y,z'
'-y,-x,-z'
'y,x,z'
'-x,y+1/2,-z'
'x,-y+1/2,z'
'y+1/2,x+1/2,-z'
'-y+1/2,-x+1/2,z'
loop_
_atom_site_label
_atom_site_type_symbol
_atom_site_fract_x
_atom_site_fract_y
_atom_site_fract_z
Tm1 Tm 0.250 0.750 0.000
Hg1 Hg 0.250 0.250 0.499
N1 N 0.250 0.250 0.999
O1 O 0.250 0.750 0.500
```

***

(3)
TmHgNO: relaxed, PBE-GGA.

Calculated values
uncorrected energy = -5.740 eV per atom
ΔE to the lowest computed polymorph = 0 meV/atom
spin magnetization = 0.00 μB per cell

```
data_TmHgNO
_cell_length_a 6.382
_cell_length_b 7.504
_cell_length_c 6.211
_cell_angle_alpha 90.00
_cell_angle_beta 90.00
_cell_angle_gamma 90.00
_symmetry_space_group_name_H-M 'P c a 21'
_symmetry_Int_Tables_number 29
_symmetry_space_group_name_Hall 'P 2c -2ac'
loop_
_atom_site_label
_atom_site_type_symbol
_atom_site_fract_x
_atom_site_fract_y
_atom_site_fract_z
Tm1 Tm 0.085 0.115 0.000
Hg1 Hg 0.230 0.609 0.827
N1 N 0.030 0.619 0.561
O1 O 0.127 0.061 0.663
```

***

(4)
TmHgNO: relaxed, PBE-GGA.

Calculated values
uncorrected energy = -5.704 eV per atom
ΔE to the lowest computed polymorph = 35 meV/atom
spin magnetization = 0.00 μB per cell

```
data_TmHgNO
_cell_length_a 3.803
_cell_length_b 6.420
_cell_length_c 6.159
_cell_angle_alpha 90.00
_cell_angle_beta 90.00
_cell_angle_gamma 90.00
_symmetry_space_group_name_H-M 'P m c 21'
_symmetry_Int_Tables_number 26
_symmetry_space_group_name_Hall 'P 2c -2'
loop_
_atom_site_label
_atom_site_type_symbol
_atom_site_fract_x
_atom_site_fract_y
_atom_site_fract_z
Tm1 Tm 0.000 0.140 0.000
Hg1 Hg 0.500 0.440 0.583
N1 N 0.500 0.291 0.882
O1 O 0.000 0.143 0.340
```

***

(5)
TmHgNO: relaxed, PBE-GGA.

Calculated values
uncorrected energy = -5.686 eV per atom
ΔE to the lowest computed polymorph = 53 meV/atom
spin magnetization = 0.00 μB per cell

```
data_TmHgNO
_cell_length_a 3.958
_cell_length_b 6.029
_cell_length_c 5.657
_cell_angle_alpha 90.00
_cell_angle_beta 90.00
_cell_angle_gamma 90.00
_symmetry_space_group_name_H-M 'P m c 21'
_symmetry_Int_Tables_number 26
_symmetry_space_group_name_Hall 'P 2c -2'
loop_
_atom_site_label
_atom_site_type_symbol
_atom_site_fract_x
_atom_site_fract_y
_atom_site_fract_z
Tm1 Tm 0.000 0.197 0.000
Hg1 Hg 0.500 0.275 0.476
N1 N 0.000 0.156 0.394
O1 O 0.500 0.317 0.924
```

***

(6)
YHgNO: relaxed, PBE-GGA.

Calculated values
uncorrected energy = -6.016 eV per atom
ΔE to the lowest computed polymorph = 181 meV/atom
spin magnetization = 0.00 μB per cell

```
data_YHgNO
_cell_length_a 6.440
_cell_length_b 7.598
_cell_length_c 5.772
_cell_angle_alpha 90.00
_cell_angle_beta 90.00
_cell_angle_gamma 90.00
_symmetry_space_group_name_H-M 'P c a 21'
_symmetry_Int_Tables_number 29
_symmetry_space_group_name_Hall 'P 2c -2ac'
loop_
_atom_site_label
_atom_site_type_symbol
_atom_site_fract_x
_atom_site_fract_y
_atom_site_fract_z
Y1 Y 0.069 0.140 0.000
Hg1 Hg 0.062 0.653 0.011
N1 N 0.099 0.105 0.612
O1 O 0.085 0.614 0.592
```

***

(7)
YHgNO: relaxed, PBE-GGA.

Calculated values
uncorrected energy = -6.134 eV per atom
ΔE to the lowest computed polymorph = 63 meV/atom
spin magnetization = 0.00 μB per cell

```
data_YHgNO
_cell_length_a 4.002
_cell_length_b 6.097
_cell_length_c 5.698
_cell_angle_alpha 90.00
_cell_angle_beta 90.00
_cell_angle_gamma 90.00
_symmetry_space_group_name_H-M 'P m c 21'
_symmetry_Int_Tables_number 26
_symmetry_space_group_name_Hall 'P 2c -2'
loop_
_atom_site_label
_atom_site_type_symbol
_atom_site_fract_x
_atom_site_fract_y
_atom_site_fract_z
Y1 Y 0.000 0.201 0.000
Hg1 Hg 0.500 0.272 0.479
N1 N 0.000 0.159 0.402
O1 O 0.500 0.325 0.921
```

***

(8)
YHgNO: relaxed, PBE-GGA.

Calculated values
uncorrected energy = -6.196 eV per atom
ΔE to the lowest computed polymorph = 0 meV/atom
spin magnetization = 0.00 μB per cell

```
data_YHgNO
_cell_length_a 3.917
_cell_length_b 6.789
_cell_length_c 6.556
_cell_angle_alpha 90.00
_cell_angle_beta 90.00
_cell_angle_gamma 90.00
_symmetry_space_group_name_H-M 'P m c 21'
_symmetry_Int_Tables_number 26
_symmetry_space_group_name_Hall 'P 2c -2'
loop_
_atom_site_label
_atom_site_type_symbol
_atom_site_fract_x
_atom_site_fract_y
_atom_site_fract_z
Y1 Y 0.000 0.142 0.000
Hg1 Hg 0.500 0.491 0.687
N1 N 0.500 0.316 0.941
O1 O 0.000 0.109 0.316
```

***

(9)
YHgNO: relaxed, PBE-GGA.

Calculated values
uncorrected energy = -6.179 eV per atom
ΔE to the lowest computed polymorph = 17 meV/atom
spin magnetization = 0.00 μB per cell

```
data_YHgNO
_cell_length_a 6.502
_cell_length_b 7.540
_cell_length_c 6.263
_cell_angle_alpha 90.00
_cell_angle_beta 90.00
_cell_angle_gamma 90.00
_symmetry_space_group_name_H-M 'P c a 21'
_symmetry_Int_Tables_number 29
_symmetry_space_group_name_Hall 'P 2c -2ac'
loop_
_atom_site_label
_atom_site_type_symbol
_atom_site_fract_x
_atom_site_fract_y
_atom_site_fract_z
Y1 Y 0.084 0.121 0.000
Hg1 Hg 0.223 0.605 0.850
N1 N 0.037 0.614 0.578
O1 O 0.125 0.066 0.658
```

***

(10)
YHgNO: relaxed, PBE-GGA.

Calculated values
uncorrected energy = -5.962 eV per atom
ΔE to the lowest computed polymorph = 234 meV/atom
spin magnetization = 0.00 μB per cell

```
data_YHgNO
_cell_length_a 3.921
_cell_length_b 3.921
_cell_length_c 7.992
_cell_angle_alpha 90.00
_cell_angle_beta 90.00
_cell_angle_gamma 90.00
_symmetry_space_group_name_H-M 'P 4/n m m'
_symmetry_Int_Tables_number 129
loop_
_symmetry_equiv_pos_as_xyz
'x,y,z'
'-x,-y,-z'
'-y+1/2,x,z'
'y+1/2,-x,-z'
'-x+1/2,-y+1/2,z'
'x+1/2,y+1/2,-z'
'y,-x+1/2,z'
'-y,x+1/2,-z'
'x+1/2,-y,-z'
'-x+1/2,y,z'
'-y,-x,-z'
'y,x,z'
'-x,y+1/2,-z'
'x,-y+1/2,z'
'y+1/2,x+1/2,-z'
'-y+1/2,-x+1/2,z'
loop_
_atom_site_label
_atom_site_type_symbol
_atom_site_fract_x
_atom_site_fract_y
_atom_site_fract_z
Y1 Y 0.250 0.250 0.136
Hg1 Hg 0.250 0.750 0.500
N1 N 0.250 0.250 0.697
O1 O 0.250 0.750 0.000
```

***

(11)
YHgNO: relaxed, PBE-GGA.

Calculated values
uncorrected energy = -6.071 eV per atom
ΔE to the lowest computed polymorph = 125 meV/atom
spin magnetization = 0.00 μB per cell

```
data_YHgNO
_cell_length_a 5.023
_cell_length_b 5.023
_cell_length_c 4.604
_cell_angle_alpha 90.00
_cell_angle_beta 90.00
_cell_angle_gamma 90.00
_symmetry_space_group_name_H-M 'P 4/n m m'
_symmetry_Int_Tables_number 129
loop_
_symmetry_equiv_pos_as_xyz
'x,y,z'
'-x,-y,-z'
'-y+1/2,x,z'
'y+1/2,-x,-z'
'-x+1/2,-y+1/2,z'
'x+1/2,y+1/2,-z'
'y,-x+1/2,z'
'-y,x+1/2,-z'
'x+1/2,-y,-z'
'-x+1/2,y,z'
'-y,-x,-z'
'y,x,z'
'-x,y+1/2,-z'
'x,-y+1/2,z'
'y+1/2,x+1/2,-z'
'-y+1/2,-x+1/2,z'
loop_
_atom_site_label
_atom_site_type_symbol
_atom_site_fract_x
_atom_site_fract_y
_atom_site_fract_z
Y1 Y 0.250 0.750 0.000
Hg1 Hg 0.250 0.250 0.499
N1 N 0.250 0.250 0.999
O1 O 0.250 0.750 0.500
```

***

(12)
ZnHgNO: relaxed, PBE-GGA.

Calculated values
uncorrected energy = -3.354 eV per atom
ΔE to the lowest computed polymorph = 199 meV/atom

```
data_ZnHgNO
_cell_length_a 4.085
_cell_length_b 4.085
_cell_length_c 7.148
_cell_angle_alpha 90.00
_cell_angle_beta 90.00
_cell_angle_gamma 90.00
_symmetry_space_group_name_H-M 'P 4/n m m'
_symmetry_Int_Tables_number 129
loop_
_symmetry_equiv_pos_as_xyz
'x,y,z'
'-x,-y,-z'
'-y+1/2,x,z'
'y+1/2,-x,-z'
'-x+1/2,-y+1/2,z'
'x+1/2,y+1/2,-z'
'y,-x+1/2,z'
'-y,x+1/2,-z'
'x+1/2,-y,-z'
'-x+1/2,y,z'
'-y,-x,-z'
'y,x,z'
'-x,y+1/2,-z'
'x,-y+1/2,z'
'y+1/2,x+1/2,-z'
'-y+1/2,-x+1/2,z'
loop_
_atom_site_label
_atom_site_type_symbol
_atom_site_fract_x
_atom_site_fract_y
_atom_site_fract_z
Zn1 Zn 0.250 0.750 0.000
Hg1 Hg 0.250 0.250 0.356
N1 N 0.250 0.250 0.033
O1 O 0.250 0.750 0.500
```

***

(13)
ZnHgNO: relaxed, PBE-GGA.

Calculated values
uncorrected energy = -3.553 eV per atom
ΔE to the lowest computed polymorph = 0 meV/atom

```
data_ZnHgNO
_cell_length_a 5.946
_cell_length_b 6.976
_cell_length_c 5.578
_cell_angle_alpha 90.00
_cell_angle_beta 90.00
_cell_angle_gamma 90.00
_symmetry_space_group_name_H-M 'P c a 21'
_symmetry_Int_Tables_number 29
_symmetry_space_group_name_Hall 'P 2c -2ac'
loop_
_atom_site_label
_atom_site_type_symbol
_atom_site_fract_x
_atom_site_fract_y
_atom_site_fract_z
Zn1 Zn 0.094 0.108 0.000
Hg1 Hg 0.090 0.626 0.991
N1 N 0.056 0.652 0.603
O1 O 0.100 0.095 0.643
```

***

(14)
ZnHgNO: relaxed, PBE-GGA.

Calculated values
uncorrected energy = -3.532 eV per atom
ΔE to the lowest computed polymorph = 21 meV/atom

```
data_ZnHgNO
_cell_length_a 3.392
_cell_length_b 6.006
_cell_length_c 5.716
_cell_angle_alpha 90.00
_cell_angle_beta 90.00
_cell_angle_gamma 90.00
_symmetry_space_group_name_H-M 'P m c 21'
_symmetry_Int_Tables_number 26
_symmetry_space_group_name_Hall 'P 2c -2'
loop_
_atom_site_label
_atom_site_type_symbol
_atom_site_fract_x
_atom_site_fract_y
_atom_site_fract_z
Zn1 Zn 0.000 0.156 0.000
Hg1 Hg 0.500 0.349 0.526
N1 N 0.500 0.303 0.903
O1 O 0.000 0.138 0.345
```

***

(15)
ZnHgNO: relaxed, PBE-GGA.

Calculated values
uncorrected energy = -3.433 eV per atom
ΔE to the lowest computed polymorph = 120 meV/atom

```
data_ZnHgNO
_cell_length_a 4.373
_cell_length_b 4.373
_cell_length_c 5.499
_cell_angle_alpha 90.00
_cell_angle_beta 90.00
_cell_angle_gamma 90.00
_symmetry_space_group_name_H-M 'P 4/n m m'
_symmetry_Int_Tables_number 129
loop_
_symmetry_equiv_pos_as_xyz
'x,y,z'
'-x,-y,-z'
'-y+1/2,x,z'
'y+1/2,-x,-z'
'-x+1/2,-y+1/2,z'
'x+1/2,y+1/2,-z'
'y,-x+1/2,z'
'-y,x+1/2,-z'
'x+1/2,-y,-z'
'-x+1/2,y,z'
'-y,-x,-z'
'y,x,z'
'-x,y+1/2,-z'
'x,-y+1/2,z'
'y+1/2,x+1/2,-z'
'-y+1/2,-x+1/2,z'
loop_
_atom_site_label
_atom_site_type_symbol
_atom_site_fract_x
_atom_site_fract_y
_atom_site_fract_z
Zn1 Zn 0.250 0.250 0.050
Hg1 Hg 0.250 0.750 0.500
N1 N 0.250 0.250 0.432
O1 O 0.250 0.750 0.000
```

***

(16)
ZnHgNO: relaxed, PBE-GGA.

Calculated values
uncorrected energy = -3.550 eV per atom
ΔE to the lowest computed polymorph = 3 meV/atom

```
data_ZnHgNO
_cell_length_a 3.329
_cell_length_b 6.156
_cell_length_c 5.703
_cell_angle_alpha 90.00
_cell_angle_beta 90.00
_cell_angle_gamma 90.00
_symmetry_space_group_name_H-M 'P m c 21'
_symmetry_Int_Tables_number 26
_symmetry_space_group_name_Hall 'P 2c -2'
loop_
_atom_site_label
_atom_site_type_symbol
_atom_site_fract_x
_atom_site_fract_y
_atom_site_fract_z
Zn1 Zn 0.000 0.157 0.000
Hg1 Hg 0.500 0.325 0.484
N1 N 0.000 0.132 0.348
O1 O 0.500 0.313 0.904
```

***

(17)
ZrHgNO: relaxed, PBE-GGA.

Calculated values
uncorrected energy = -6.417 eV per atom
ΔE to the lowest computed polymorph = 226 meV/atom
spin magnetization = 0.03 μB per cell

```
data_ZrHgNO
_cell_length_a 6.436
_cell_length_b 7.129
_cell_length_c 6.115
_cell_angle_alpha 90.00
_cell_angle_beta 90.00
_cell_angle_gamma 90.00
_symmetry_space_group_name_H-M 'P c a 21'
_symmetry_Int_Tables_number 29
_symmetry_space_group_name_Hall 'P 2c -2ac'
loop_
_atom_site_label
_atom_site_type_symbol
_atom_site_fract_x
_atom_site_fract_y
_atom_site_fract_z
Zr1 Zr 0.083 0.108 0.000
Hg1 Hg 0.158 0.628 0.924
N1 N 0.004 0.365 0.076
O1 O 0.133 0.072 0.661
```

***

(18)
ZrHgNO: relaxed, PBE-GGA.

Calculated values
uncorrected energy = -6.223 eV per atom
ΔE to the lowest computed polymorph = 420 meV/atom
spin magnetization = 0.01 μB per cell

```
data_ZrHgNO
_cell_length_a 4.722
_cell_length_b 4.722
_cell_length_c 4.798
_cell_angle_alpha 90.00
_cell_angle_beta 90.00
_cell_angle_gamma 90.00
_symmetry_space_group_name_H-M 'P 4/n m m'
_symmetry_Int_Tables_number 129
loop_
_symmetry_equiv_pos_as_xyz
'x,y,z'
'-x,-y,-z'
'-y+1/2,x,z'
'y+1/2,-x,-z'
'-x+1/2,-y+1/2,z'
'x+1/2,y+1/2,-z'
'y,-x+1/2,z'
'-y,x+1/2,-z'
'x+1/2,-y,-z'
'-x+1/2,y,z'
'-y,-x,-z'
'y,x,z'
'-x,y+1/2,-z'
'x,-y+1/2,z'
'y+1/2,x+1/2,-z'
'-y+1/2,-x+1/2,z'
loop_
_atom_site_label
_atom_site_type_symbol
_atom_site_fract_x
_atom_site_fract_y
_atom_site_fract_z
Zr1 Zr 0.250 0.750 0.000
Hg1 Hg 0.250 0.250 0.432
N1 N 0.250 0.250 0.940
O1 O 0.250 0.750 0.500
```

***

(19)
ZrHgNO: relaxed, PBE-GGA.

Calculated values
uncorrected energy = -6.577 eV per atom
ΔE to the lowest computed polymorph = 66 meV/atom
spin magnetization = 0.00 μB per cell

```
data_ZrHgNO
_cell_length_a 3.664
_cell_length_b 6.584
_cell_length_c 5.963
_cell_angle_alpha 90.00
_cell_angle_beta 90.00
_cell_angle_gamma 90.00
_symmetry_space_group_name_H-M 'P m c 21'
_symmetry_Int_Tables_number 26
_symmetry_space_group_name_Hall 'P 2c -2'
loop_
_atom_site_label
_atom_site_type_symbol
_atom_site_fract_x
_atom_site_fract_y
_atom_site_fract_z
Zr1 Zr 0.000 0.162 0.000
Hg1 Hg 0.500 0.324 0.476
N1 N 0.000 0.110 0.339
O1 O 0.500 0.283 0.926
```

***

(20)
ZrHgNO: relaxed, PBE-GGA.

Calculated values
uncorrected energy = -6.643 eV per atom
ΔE to the lowest computed polymorph = 0 meV/atom
spin magnetization = 0.00 μB per cell

```
data_ZrHgNO
_cell_length_a 3.450
_cell_length_b 7.097
_cell_length_c 6.174
_cell_angle_alpha 90.00
_cell_angle_beta 90.00
_cell_angle_gamma 90.00
_symmetry_space_group_name_H-M 'P m c 21'
_symmetry_Int_Tables_number 26
_symmetry_space_group_name_Hall 'P 2c -2'
loop_
_atom_site_label
_atom_site_type_symbol
_atom_site_fract_x
_atom_site_fract_y
_atom_site_fract_z
Zr1 Zr 0.000 0.163 0.000
Hg1 Hg 0.500 0.362 0.447
N1 N 0.500 0.320 0.043
O1 O 0.000 0.053 0.704
```